w.
Density functional theory data (GGA-PBE) for a geometry-optimized LiPrIr structure.

Lattice parameters (Å, degrees): 3.666 3.666 9.159 90.00 90.00 90.00
Space group I4mm (No. 107)
One atom of each set of equivalent atoms:
Li 0.000 0.000 0.000
Pr 0.000 0.000 0.298
Ir 0.000 0.000 0.634

Output
- Mass density: 9.17 g/cm³
- DOS(E_F): 0.8377 states/eV per atom

=====

x.
Density functional theory data (GGA-PBE) for a geometry-optimized LiPrIr structure.

Lattice parameters (Å, degrees): 4.326 3.902 8.740 90.00 90.00 90.00
Space group Pmma (No. 51)
One atom of each set of equivalent atoms:
Li 0.250 0.000 0.109
Pr 0.250 0.500 0.684
Ir 0.250 0.000 0.409

Output
- Mass density: 7.66 g/cm³
- DOS(E_F): 0.4187 states/eV per atom

=====

Short version: x is the most stable of them.

=====

w.
Density functional theory data (GGA-PBE) for a geometry-optimized LiIr2Pt structure.

Lattice parameters (Å, degrees): 3.845 3.845 7.569 90.00 90.00 90.00
Space group I-4m2 (No. 119)
One atom of each set of equivalent atoms:
Li 0.000 0.000 0.000
Ir 0.000 0.000 0.500
Ir 0.000 0.500 0.750
Pt 0.000 0.500 0.250

Output
- Mass density: 17.41 g/cm³
- DOS(E_F): 0.4960 states/eV per atom

=====

x.
Density functional theory data (GGA-PBE) for a geometry-optimized LiIr2Pt structure.

Lattice parameters (Å, degrees): 2.709 4.570 4.690 90.00 90.00 90.00
Space group Pmmm (No. 47)
One atom of each set of equivalent atoms:
Li 0.000 0.000 0.000
Ir 0.000 0.500 0.500
Ir 0.500 0.000 0.500
Pt 0.500 0.500 0.000

Output
- Mass density: 16.78 g/cm³
- DOS(E_F): 1.3155 states/eV per atom

=====

y.
Density functional theory data (GGA-PBE) for a geometry-optimized LiIr2Pt structure.

Lattice parameters (Å, degrees): 2.7039 2.7039 27.6107 90.00 90.00 120.00
Space group R-3m (No. 166, hexagonal axes)
One atom of each set of equivalent atoms:
Li 0.0000 0.0000 0.0000
Ir 0.0000 0.0000 0.2523
Pt 0.0000 0.0000 0.5000

Output
- Mass density: 16.71 g/cm³
- DOS(E_F): 1.3758 states/eV per atom

=====

Short version: w is the most stable of them.

=====

w.
Density functional theory data (GGA-PBE) for a geometry-optimized LiIrPt2 structure.

Lattice parameters (Å, degrees): 2.727 2.727 7.895 90.00 90.00 90.00
Space group P4mm (No. 99)
One atom of each set of equivalent atoms:
Li 0.000 0.000 0.000
Ir 0.500 0.500 0.749
Pt 0.000 0.000 0.503
Pt 0.500 0.500 0.240

Output
- Mass density: 16.67 g/cm³
- DOS(E_F): 1.0880 states/eV per atom

=====

x.
Density functional theory data (GGA-PBE) for a geometry-optimized LiIrPt2 structure.

Lattice parameters (Å, degrees): 2.735 4.671 9.358 90.00 90.00 90.00
Space group Cmm2 (No. 35)
One atom of each set of equivalent atoms:
Li 0.000 0.000 0.000
Ir 0.000 0.500 0.760
Pt 0.000 0.000 0.504
Pt 0.000 0.500 0.235

Output
- Mass density: 16.37 g/cm³
- DOS(E_F): 1.4394 states/eV per atom

=====

y.
Density functional theory data (GGA-PBE) for a geometry-optimized LiIrPt2 structure.

Lattice parameters (Å, degrees): 2.717 4.527 4.732 90.00 90.00 90.00
Space group Pmm2 (No. 25)
One atom of each set of equivalent atoms:
Li 0.000 0.000 0.000
Ir 0.000 0.500 0.375
Pt 0.500 0.000 0.497
Pt 0.500 0.500 0.880

Output
- Mass density: 16.81 g/cm³
- DOS(E_F): 0.9444 states/eV per atom

=====

z.
Density functional theory data (GGA-PBE) for a geometry-optimized LiIrPt2 structure.

Lattice parameters (Å, degrees): 3.871 3.871 7.637 90.00 90.00 90.00
Space group I4/mmm (No. 139)
One atom of each set of equivalent atoms:
Li 0.000 0.000 0.000
Ir 0.000 0.000 0.500
Pt 0.000 0.500 0.250

Output
- Mass density: 17.10 g/cm³
- DOS(E_F): 0.6686 states/eV per atom

=====

Short version: y is the most stable of them.

=====

w.
Density functional theory data (GGA-PBE) for a geometry-optimized LiIrPt2 structure.

Lattice parameters (Å, degrees): 5.501 7.724 2.716 90.00 90.00 90.00
Space group Cmmm (No. 65)
One atom of each set of equivalent atoms:
Li 0.000 0.000 0.000
Ir 0.000 0.500 0.000
Pt 0.250 0.250 0.500

Output
- Mass density: 16.96 g/cm³
- DOS(E_F): 0.7521 states/eV per atom

=====

x.
Density functional theory data (GGA-PBE) for a geometry-optimized LiIrPt2 structure.

Lattice parameters (Å, degrees): 6.180 6.180 6.180 90.00 90.00 90.00
Space group Fm-3m (No. 225)
One atom of each set of equivalent atoms:
Li 0.000 0.000 0.000
Ir 0.000 0.000 0.500
Pt 0.250 0.250 0.250

Output
- Mass density: 16.58 g/cm³
- DOS(E_F): 1.9003 states/eV per atom

=====

Short version: w is the most stable of them.

=====

w.
Density functional theory data (GGA-PBE) for a geometry-optimized LiPu2Ir2 structure.

Lattice parameters (Å, degrees): 4.323 5.770 7.899 90.00 90.00 90.00
Space group Immm (No. 71)
One atom of each set of equivalent atoms:
Li 0.000 0.000 0.000
Pu 0.000 0.500 0.201
Ir 0.000 0.238 0.500

Output
- Mass density: 14.82 g/cm³
- DOS(E_F): 2.8035 states/eV per atom

=====

x.
Density functional theory data (GGA-PBE) for a geometry-optimized LiPu2Ir2 structure.

Lattice parameters (Å, degrees): 7.502 7.502 3.648 90.00 90.00 90.00
Space group P4/mbm (No. 127)
One atom of each set of equivalent atoms:
Li 0.000 0.000 0.000
Pu 0.161 0.339 0.500
Ir 0.142 0.642 0.000

Output
- Mass density: 14.23 g/cm³
- DOS(E_F): 2.6130 states/eV per atom

=====

Short version: w is the most stable of them.

=====

w.
Density functional theory data (GGA-PBE) for a geometry-optimized RbLiIr2 structure.

Lattice parameters (Å, degrees): 6.657 6.657 6.657 90.00 90.00 90.00
Space group Fm-3m (No. 225)
One atom of each set of equivalent atoms:
Rb 0.000 0.000 0.000
Li 0.000 0.000 0.500
Ir 0.250 0.250 0.250

Output
- Mass density: 10.73 g/cm³
- DOS(E_F): 1.5868 states/eV per atom

=====

x.
Density functional theory data (GGA-PBE) for a geometry-optimized RbLiIr2 structure.

Lattice parameters (Å, degrees): 4.511 4.511 19.328 90.00 90.00 90.00
Space group I-42d (No. 122)
One atom of each set of equivalent atoms:
Rb 0.000 0.000 0.000
Li 0.000 0.000 0.500
Ir 0.093 0.750 0.625

Output
- Mass density: 8.05 g/cm³
- DOS(E_F): 0.5885 states/eV per atom

=====

Short version: x is the most stable of them.